## Fe3NiRu (PBE)

Data for Fe3NiRu after structural relaxation.

POSCAR file:
```
Fe3NiRu
1.0
-0.595 -3.465 -2.813
3.419 1.469 -2.534
2.868 -2.471 2.437
Ru Fe Ni
1 3 1
direct
0.000 0.000 0.000
0.000 0.500 0.000
0.000 0.000 0.500
0.500 0.000 0.000
0.500 0.500 0.500
```

Computed properties:
Symmetry = No. 221
Energy relative to the elements = 8.12 eV per formula unit
ΔE to the lowest computed polymorph = 487 meV/atom

## KCdI3 (PBE)

Data for KCdI3 after structural relaxation.

POSCAR file:
```
KCdI3
1.0
5.988 0.000 0.000
0.000 5.988 0.000
0.000 0.000 5.988
I K Cd
3 1 1
direct
0.000 0.500 0.000
0.000 0.000 0.500
0.500 0.000 0.000
0.500 0.500 0.500
0.000 0.000 0.000
```

Computed properties:
Symmetry = No. 221
Formation energy from raw total energies = -0.83 eV/atom
ΔE to the lowest computed polymorph = 108 meV/atom

## PaCdS2 (PBE)

Data for PaCdS2 after structural relaxation.

POSCAR file:
```
PaCdS2
1.0
4.002 0.000 0.000
2.001 3.465 0.000
2.001 1.155 9.704
S Pa Cd
2 1 1
direct
0.117 0.117 0.648
0.883 0.883 0.352
0.500 0.500 0.500
0.000 0.000 0.000
```

Computed properties:
Symmetry = No. 166
Formation energy from raw total energies = -1.02 eV/atom

| no. | VASP energy (eV for the cell shown) | ρ (Mg/m³) |
| --- | --- | --- |
| 1 | -32.3 | 6.0 |
| 2 | -10.8 | 4.1 |
| 3 | -22.7 | 5.0 |